# 1
The following is a PBE calculation of an optimized crystal structure of YFe2Ge2, from OQMD.

## Properties
E_tot in eV/cell: -34.61

abc: 6.0204 6.0204 6.0204
angles: 141.70 141.70 55.29
Positions (direct):
1 Y 0.0000 0.0000 0.0000
2 Fe 0.2500 0.7500 0.5000
3 Fe 0.7500 0.2500 0.5000
4 Ge 0.3812 0.3812 0.0000
5 Ge 0.6188 0.6188 0.0000

# 2
The following is a PBE calculation of an optimized crystal structure of Y2FeGe, from OQMD.

## Properties
E_tot in eV/cell: -25.70

abc: 4.7570 4.7570 4.7570
angles: 60.00 60.00 60.00
Positions (direct):
1 Y 0.0000 0.0000 0.0000
2 Y 0.2500 0.2500 0.2500
3 Fe 0.7500 0.7500 0.7500
4 Ge 0.5000 0.5000 0.5000

# 3
The following is a PBE calculation of an optimized crystal structure of YFeGe2, from OQMD.

## Properties
E_tot in eV/cell: -23.73

abc: 4.6428 4.6428 4.6428
angles: 60.00 60.00 60.00
Positions (direct):
1 Y 0.0000 0.0000 0.0000
2 Fe 0.2500 0.2500 0.2500
3 Ge 0.5000 0.5000 0.5000
4 Ge 0.7500 0.7500 0.7500

# 4
The following is a PBE calculation of an optimized crystal structure of YFe6Ge6, from OQMD.

## Properties
E_tot in eV/cell: -175.45

abc: 9.7479 9.7479 5.1186
angles: 90.00 90.00 130.55
Positions (direct):
1 Y 0.1275 0.8725 0.7500
2 Y 0.8725 0.1275 0.2500
3 Fe 0.0000 0.5000 0.0000
4 Fe 0.0000 0.5000 0.5000
5 Fe 0.1252 0.3748 0.7500
6 Fe 0.2493 0.2493 0.0000
7 Fe 0.2493 0.2493 0.5000
8 Fe 0.3748 0.1252 0.2500
9 Fe 0.5000 0.0000 0.0000
10 Fe 0.5000 0.0000 0.5000
11 Fe 0.6252 0.8748 0.7500
12 Fe 0.7507 0.7507 0.0000
13 Fe 0.7507 0.7507 0.5000
14 Fe 0.8748 0.6252 0.2500
15 Ge 0.0417 0.9583 0.2500
16 Ge 0.2114 0.7886 0.2500
17 Ge 0.2223 0.4710 0.2500
18 Ge 0.2960 0.7040 0.7500
19 Ge 0.4598 0.5402 0.7500
20 Ge 0.4710 0.2223 0.7500
21 Ge 0.5290 0.7777 0.2500
22 Ge 0.5402 0.4598 0.2500
23 Ge 0.7040 0.2960 0.2500
24 Ge 0.7777 0.5290 0.7500
25 Ge 0.7886 0.2114 0.7500
26 Ge 0.9583 0.0417 0.7500

# 5
The following is a PBE calculation of an optimized crystal structure of YFeGe, from OQMD.

## Properties
E_tot in eV/cell: -17.68

abc: 4.6663 4.6663 4.6663
angles: 60.00 60.00 60.00
Positions (direct):
1 Y 0.0000 0.0000 0.0000
2 Fe 0.7500 0.7500 0.7500
3 Ge 0.2500 0.2500 0.2500

# 6
The following is a PBE calculation of an optimized crystal structure of YFeGe, from OQMD.

## Properties
E_tot in eV/cell: -19.65

abc: 4.4216 4.4216 4.4216
angles: 60.00 60.00 60.00
Positions (direct):
1 Y 0.0000 0.0000 0.0000
2 Fe 0.7500 0.7500 0.7500
3 Ge 0.5000 0.5000 0.5000

# 7
The following is a PBE calculation of an optimized crystal structure of YFe2Ge, from OQMD.

## Properties
E_tot in eV/cell: -27.66

abc: 4.5473 4.5473 4.5473
angles: 60.00 60.00 60.00
Positions (direct):
1 Y 0.0000 0.0000 0.0000
2 Fe 0.2500 0.2500 0.2500
3 Fe 0.5000 0.5000 0.5000
4 Ge 0.7500 0.7500 0.7500

# 8
The following is a PBE calculation of an optimized crystal structure of YFeGe2, from OQMD.

## Properties
E_tot in eV/cell: -23.74

abc: 4.6533 4.6533 4.6533
angles: 60.00 60.00 60.00
Positions (direct):
1 Y 0.0000 0.0000 0.0000
2 Fe 0.2500 0.2500 0.2500
3 Ge 0.5000 0.5000 0.5000
4 Ge 0.7500 0.7500 0.7500

# 9
The following is a PBE calculation of an optimized crystal structure of YZnFeGe, from OQMD.

## Properties
E_tot in eV/cell: -21.17

abc: 4.6423 4.6423 4.6423
angles: 60.00 60.00 60.00
Positions (direct):
1 Y 0.0000 0.0000 0.0000
2 Zn 0.7500 0.7500 0.7500
3 Fe 0.5000 0.5000 0.5000
4 Ge 0.2500 0.2500 0.2500

# 10
The following is a PBE calculation of an optimized crystal structure of YZnFeGe, from OQMD.

## Properties
E_tot in eV/cell: -20.63

abc: 4.5925 4.5925 4.5925
angles: 60.00 60.00 60.00
Positions (direct):
1 Y 0.0000 0.0000 0.0000
2 Zn 0.2500 0.2500 0.2500
3 Fe 0.7500 0.7500 0.7500
4 Ge 0.5000 0.5000 0.5000

# 11
The following is a PBE calculation of an optimized crystal structure of YZrFeGe, from OQMD.

## Properties
E_tot in eV/cell: -27.57

abc: 4.6742 4.6742 4.6742
angles: 60.00 60.00 60.00
Positions (direct):
1 Y 0.0000 0.0000 0.0000
2 Zr 0.7500 0.7500 0.7500
3 Fe 0.5000 0.5000 0.5000
4 Ge 0.2500 0.2500 0.2500

# 12
The following is a PBE calculation of an optimized crystal structure of ZnFeGe2, from OQMD.

## Properties
E_tot in eV/cell: -17.12

abc: 4.4692 4.4692 4.4692
angles: 60.00 60.00 60.00
Positions (direct):
1 Zn 0.0000 0.0000 0.0000
2 Fe 0.7500 0.7500 0.7500
3 Ge 0.2500 0.2500 0.2500
4 Ge 0.5000 0.5000 0.5000